1.
Below is a relaxed structure of HfZrPa2As4, with properties calculated at the GGA-PBE level.

Structure (CIF):
```
data_HfZrPa2As4
_cell_length_a 6.742
_cell_length_b 4.021
_cell_length_c 6.954
_cell_angle_alpha 90.00
_cell_angle_beta 110.13
_cell_angle_gamma 90.00
_space_group_name_H-M_alt 'P 1 2/m 1'
_space_group_IT_number 10
loop_
_space_group_symop_operation_xyz
'x,y,z'
'-x,-y,-z'
'-x,y,-z'
'x,-y,z'
loop_
_atom_site_label
_atom_site_fract_x
_atom_site_fract_y
_atom_site_fract_z
_atom_site_occupancy
Hf1 0.000 0.000 0.000 1
Zr1 0.000 0.500 0.500 1
Pa1 0.500 0.000 0.500 1
Pa2 0.500 0.500 0.000 1
As1 0.233 0.500 0.243 1
As2 0.235 0.000 0.747 1
```

Energy of formation from the pure elements   -8.509 eV/f.u.
Size of the total moment   0.0 μB per cell

=====

2.
Below is a relaxed structure of Hf2AsPb2, with properties calculated at the GGA-PBE level.

Structure (CIF):
```
data_Hf2AsPb2
_cell_length_a 7.083
_cell_length_b 7.083
_cell_length_c 4.765
_cell_angle_alpha 90.00
_cell_angle_beta 90.00
_cell_angle_gamma 90.00
_space_group_name_H-M_alt 'P 4/m b m'
_space_group_IT_number 127
_space_group_name_Hall '-P 4 2ab'
loop_
_atom_site_label
_atom_site_fract_x
_atom_site_fract_y
_atom_site_fract_z
_atom_site_occupancy
Hf1 0.153 0.347 0.000 1
As1 0.000 0.000 0.000 1
Pb1 0.162 0.662 0.500 1
```

Energy of formation from the pure elements   -0.900 eV/f.u.
Size of the total moment   0.0 μB per cell

=====

3.
Below is a relaxed structure of HfAs2Pb2, with properties calculated at the GGA-PBE level.

Structure (CIF):
```
data_HfAs2Pb2
_cell_length_a 7.312
_cell_length_b 7.312
_cell_length_c 4.726
_cell_angle_alpha 90.00
_cell_angle_beta 90.00
_cell_angle_gamma 90.00
_space_group_name_H-M_alt 'P 4/m b m'
_space_group_IT_number 127
_space_group_name_Hall '-P 4 2ab'
loop_
_atom_site_label
_atom_site_fract_x
_atom_site_fract_y
_atom_site_fract_z
_atom_site_occupancy
Hf1 0.000 0.000 0.000 1
As1 0.164 0.336 0.000 1
Pb1 0.160 0.660 0.500 1
```

Energy of formation from the pure elements   -0.531 eV/f.u.
Size of the total moment   0.0 μB per cell

=====

4.
Below is a relaxed structure of Hf4AsPb, with properties calculated at the GGA-PBE level.

Structure (CIF):
```
data_Hf4AsPb
_cell_length_a 7.785
_cell_length_b 12.407
_cell_length_c 5.663
_cell_angle_alpha 90.00
_cell_angle_beta 110.43
_cell_angle_gamma 90.00
_space_group_name_H-M_alt 'C 1 2/c 1'
_space_group_IT_number 15
loop_
_space_group_symop_operation_xyz
'x,y,z'
'-x,-y,-z'
'-x,y,-z+1/2'
'x,-y,z+1/2'
'x+1/2,y+1/2,z'
'-x+1/2,-y+1/2,-z'
'-x+1/2,y+1/2,-z+1/2'
'x+1/2,-y+1/2,z+1/2'
loop_
_atom_site_label
_atom_site_fract_x
_atom_site_fract_y
_atom_site_fract_z
_atom_site_occupancy
Hf1 0.095 0.187 0.057 1
Hf2 0.207 0.399 0.362 1
As1 0.000 0.006 0.750 1
Pb1 0.000 0.392 0.750 1
```

Energy of formation from the pure elements   -1.783 eV/f.u.
Size of the total moment   0.0 μB per cell

=====

5.
Below is a relaxed structure of Hf2AsPbS, with properties calculated at the GGA-PBE level.

Structure (CIF):
```
data_Hf2AsPbS
_cell_length_a 5.133
_cell_length_b 5.133
_cell_length_c 4.652
_cell_angle_alpha 90.00
_cell_angle_beta 90.00
_cell_angle_gamma 90.00
_space_group_name_H-M_alt 'P 4/m m m'
_space_group_IT_number 123
_space_group_name_Hall '-P 4 2'
loop_
_atom_site_label
_atom_site_fract_x
_atom_site_fract_y
_atom_site_fract_z
_atom_site_occupancy
Hf1 0.000 0.500 0.000 1
As1 0.000 0.000 0.000 1
Pb1 0.500 0.500 0.500 1
S1 0.000 0.000 0.500 1
```

Size of the total moment   0.0 μB per cell
Energy relative to the elements, uncorrected   0.3236 eV/atom

=====

6.
Below is a relaxed structure of HfSb2AsPb, with properties calculated at the GGA-PBE level.

Structure (CIF):
```
data_HfSb2AsPb
_cell_length_a 5.649
_cell_length_b 5.649
_cell_length_c 5.499
_cell_angle_alpha 90.00
_cell_angle_beta 90.00
_cell_angle_gamma 90.00
_space_group_name_H-M_alt 'P 4/m m m'
_space_group_IT_number 123
_space_group_name_Hall '-P 4 2'
loop_
_atom_site_label
_atom_site_fract_x
_atom_site_fract_y
_atom_site_fract_z
_atom_site_occupancy
Hf1 0.000 0.000 0.000 1
Sb1 0.000 0.500 0.500 1
As1 0.500 0.500 0.000 1
Pb1 0.000 0.000 0.500 1
```

Size of the total moment   0.0 μB per cell
Energy relative to the elements, uncorrected   1.3579 eV/atom